1.
MgCu2PSe4 PBE optimized geometry; space-group type = No. 121; E_form (uncorrected) = -2.51 eV per formula unit; size of the total moment = 0.00 μB per atom; uncorrected energy = -31.6 eV for the cell shown
1.0
-2.8790 2.8790 5.6187
2.8790 -2.8790 5.6187
2.8790 2.8790 -5.6187
Mg Cu P Se
1 2 1 4
Cartesian
0.0000 0.0000 0.0000
2.8790 0.0000 2.8094
0.0000 2.8790 2.8094
0.0000 0.0000 5.6187
1.5218 1.5218 -1.4963
1.3573 -1.3573 7.1151
1.3573 1.3573 4.1224
-1.3573 1.3573 7.1151

---

2.
MgCuPSe4 PBE optimized geometry; space-group type = No. 74; E_form (uncorrected) = -2.06 eV per formula unit; size of the total moment = 0.00 μB per atom; uncorrected energy = -54.2 eV for the cell shown
1.0
-3.6598 3.9651 5.4882
3.6598 -3.9651 5.4882
3.6598 3.9651 -5.4882
Mg Cu P Se
2 2 2 8
Cartesian
0.0000 0.0000 0.0000
0.0000 3.9651 0.0000
-1.8299 1.9825 2.7441
1.8299 1.9825 2.7441
3.6598 1.9825 -1.6909
0.0000 1.9825 7.1791
1.9086 1.9825 -0.2574
5.4110 1.9825 -0.2574
0.0000 0.4344 2.6394
3.6598 0.4344 2.8488
0.0000 3.5307 2.6394
3.6598 3.5307 2.8488
-1.7512 1.9825 5.7456
1.7512 1.9825 5.7456

---

3.
MgCuSnP2 PBE optimized geometry; space-group type = No. 123; formation energy from the elements = 1172.1 meV per atom; size of the total moment = 0.00 μB per atom; uncorrected energy = -14.7 eV for the cell shown
1.0
5.0684 0.0000 0.0000
0.0000 5.0684 0.0000
0.0000 0.0000 5.2924
Mg Cu Sn P
1 1 1 2
Cartesian
0.0000 0.0000 0.0000
2.5342 2.5342 0.0000
0.0000 0.0000 2.6462
0.0000 2.5342 2.6462
2.5342 0.0000 2.6462

---

4.
MgCu2PW PBE optimized geometry; space-group type = No. 123; formation energy from the elements = 419.6 meV per atom; size of the total moment = 0.00 μB per atom; uncorrected energy = -26.1 eV for the cell shown
1.0
4.3070 0.0000 0.0000
0.0000 4.3070 0.0000
0.0000 0.0000 4.5803
Mg Cu P W
1 2 1 1
Cartesian
0.0000 0.0000 0.0000
0.0000 2.1535 2.2901
2.1535 0.0000 2.2901
2.1535 2.1535 2.2901
2.1535 2.1535 0.0000

---

5.
MgCuP2W PBE optimized geometry; space-group type = No. 123; formation energy from the elements = 707.1 meV per atom; size of the total moment = 0.00 μB per atom; uncorrected energy = -25.9 eV for the cell shown
1.0
4.6152 0.0000 0.0000
0.0000 4.6152 0.0000
0.0000 0.0000 5.2346
Mg Cu P W
1 1 2 1
Cartesian
0.0000 0.0000 0.0000
2.3076 2.3076 0.0000
0.0000 2.3076 2.6173
2.3076 0.0000 2.6173
0.0000 0.0000 2.6173

---

6.
Y2MgCuP PBE optimized geometry; space-group type = No. 123; formation energy from the elements = -365.3 meV per atom; size of the total moment = 0.00 μB per atom; uncorrected energy = -25.9 eV for the cell shown
1.0
5.3670 0.0000 0.0000
0.0000 5.3670 0.0000
0.0000 0.0000 4.3530
Y Mg Cu P
2 1 1 1
Cartesian
0.0000 2.6835 0.0000
2.6835 0.0000 0.0000
0.0000 0.0000 2.1765
2.6835 2.6835 2.1765
2.6835 2.6835 0.0000

---

7.
MgZnCuP PBE optimized geometry; space-group type = No. 38; formation energy from the elements = -139.7 meV per atom; size of the total moment = 0.00 μB per atom; uncorrected energy = -12.9 eV for the cell shown
1.0
2.9188 0.0000 0.0000
0.0000 1.9608 5.6014
0.0000 -1.9608 5.6014
Mg Zn Cu P
1 1 1 1
Cartesian
0.0000 0.0000 0.0000
1.4594 0.0000 7.4883
0.0000 0.0000 2.7552
1.4594 0.0000 4.6434

---

8.
MgZnCuP PBE optimized geometry; space-group type = No. 8; formation energy from the elements = -118.9 meV per atom; size of the total moment = 0.00 μB per atom; uncorrected energy = -12.9 eV for the cell shown
1.0
3.4602 -1.9795 0.0000
3.4602 1.9795 0.0000
-2.3753 0.0000 4.8406
Mg Zn Cu P
1 1 1 1
Cartesian
0.0000 0.0000 0.0000
4.6045 0.0000 1.6302
-0.0351 0.0000 2.8059
2.2558 0.0000 3.6160

---

9.
MgZnCuP PBE optimized geometry; space-group type = No. 156; formation energy from the elements = -165.3 meV per atom; size of the total moment = 0.00 μB per atom; uncorrected energy = -13.0 eV for the cell shown
1.0
4.0268 0.0000 0.0000
-2.0134 3.4873 0.0000
0.0000 0.0000 4.7816
Mg Zn Cu P
1 1 1 1
Cartesian
0.0000 0.0000 0.0000
0.0000 2.3248 2.3593
2.0134 1.1624 1.2674
2.0134 1.1624 3.6107

---

10.
MgZnCuP PBE optimized geometry; space-group type = No. 1; formation energy from the elements = -172.7 meV per atom; size of the total moment = 0.00 μB per atom; uncorrected energy = -13.1 eV for the cell shown
1.0
3.7387 0.0000 0.0000
0.0020 3.8294 0.0000
1.8600 0.0134 4.5165
Mg Zn Cu P
1 1 1 1
Cartesian
0.0000 0.0000 0.0000
3.7519 1.9341 2.7389
1.8757 1.9095 0.7225
1.8681 3.8255 1.9629

---

11.
MgZnCuP PBE optimized geometry; space-group type = No. 6; formation energy from the elements = -155.2 meV per atom; size of the total moment = 0.00 μB per atom; uncorrected energy = -13.0 eV for the cell shown
1.0
3.7065 0.0000 0.0000
0.0000 3.6906 0.0000
-1.8623 0.0000 4.6594
Mg Zn Cu P
1 1 1 1
Cartesian
0.0000 0.0000 0.0000
1.8375 1.8453 1.9011
-0.0054 0.0000 2.6257
-0.0118 1.8453 4.0141

---

12.
MgZnCuP PBE optimized geometry; space-group type = No. 6; formation energy from the elements = -62.6 meV per atom; size of the total moment = 0.00 μB per atom; uncorrected energy = -12.6 eV for the cell shown
1.0
4.0510 0.0000 0.0000
0.0000 2.8878 0.0000
-2.0101 0.0000 5.7216
Mg Zn Cu P
1 1 1 1
Cartesian
0.0000 0.0000 0.0000
0.0191 0.0000 3.6164
2.0466 1.4439 3.1409
2.0242 1.4439 0.8201

---

13.
Mg2Pa2Cu15 PBE optimized geometry; space-group type = No. 166; formation energy from the elements = -9.9 meV per atom; size of the total moment = 0.03 μB per atom; uncorrected energy = -83.8 eV for the cell shown
1.0
4.3016 2.4835 4.2790
-4.3016 2.4835 4.2790
0.0000 -4.9670 4.2790
Mg Pa Cu
2 2 15
Cartesian
0.0000 0.0000 1.3478
0.0000 0.0000 11.4893
0.0000 0.0000 4.6069
0.0000 0.0000 8.2303
-4.3016 0.0000 6.4186
-1.3153 -2.6889 4.2790
-2.1508 1.2418 2.1395
-2.9863 0.2054 4.2790
-2.1190 -1.2234 6.2408
1.3153 -2.6889 4.2790
-1.6710 2.4835 4.2790
0.0000 -2.4468 6.5964
-2.1190 1.2234 6.5964
2.1508 1.2418 2.1395
2.1190 -1.2234 6.2408
0.0000 2.4468 6.2408
2.9863 0.2054 4.2791
1.6710 2.4835 4.2791
2.1190 1.2234 6.5964

---

14.
MgPaCu2 PBE optimized geometry; space-group type = No. 123; formation energy from the elements = -6.3 meV per atom; size of the total moment = 0.00 μB per atom; uncorrected energy = -19.3 eV for the cell shown
1.0
3.0884 0.0000 0.0000
0.0000 3.0884 0.0000
0.0000 0.0000 7.3418
Mg Pa Cu
1 1 2
Cartesian
0.0000 0.0000 0.0000
0.0000 0.0000 3.6709
1.5442 1.5442 1.6644
1.5442 1.5442 5.6774

---

15.
Mg2PaCu9 PBE optimized geometry; space-group type = No. 166; formation energy from the elements = -102.2 meV per atom; size of the total moment = 0.00 μB per atom; uncorrected energy = -50.8 eV for the cell shown
1.0
2.5129 1.4508 8.0332
-2.5129 1.4508 8.0332
0.0000 -2.9017 8.0332
Mg Pa Cu
2 1 9
Cartesian
0.0000 0.0000 3.4973
0.0000 0.0000 20.6022
0.0000 0.0000 0.0000
-1.2631 -0.7292 10.0664
0.0000 0.0000 8.0230
0.0000 -1.4585 14.0332
-1.2631 0.7292 14.0332
0.0000 0.0000 12.0498
1.2631 -0.7292 10.0664
0.0000 1.4585 10.0664
0.0000 0.0000 16.0766
1.2631 0.7292 14.0332

---

16.
MgPaCu PBE optimized geometry; space-group type = No. 107; formation energy from the elements = 86.0 meV per atom; size of the total moment = 0.10 μB per atom; uncorrected energy = -14.9 eV for the cell shown
1.0
-1.5252 1.5252 6.3350
1.5252 -1.5252 6.3350
1.5252 1.5252 -6.3350
Mg Pa Cu
1 1 1
Cartesian
0.0000 0.0000 0.0000
0.0000 0.0000 8.9867
0.0000 0.0000 4.6738

---

17.
MgPaCu PBE optimized geometry; space-group type = No. 166; formation energy from the elements = 86.1 meV per atom; size of the total moment = 0.03 μB per atom; uncorrected energy = -29.9 eV for the cell shown
1.0
2.3227 1.3410 6.5958
-2.3227 1.3410 6.5958
0.0000 -2.6821 6.5958
Mg Pa Cu
2 2 2
Cartesian
0.0000 0.0000 3.9816
0.0000 0.0000 15.8058
0.0000 0.0000 7.1901
0.0000 0.0000 12.5974
0.0000 0.0000 1.3264
0.0000 0.0000 18.4610

---

18.
Mg3PaCu8 PBE optimized geometry; space-group type = No. 156; formation energy from the elements = -98.2 meV per atom; size of the total moment = 0.00 μB per atom; uncorrected energy = -48.2 eV for the cell shown
1.0
5.0428 0.0000 0.0000
-2.5214 4.3672 0.0000
0.0000 0.0000 8.2450
Mg Pa Cu
3 1 8
Cartesian
0.0000 0.0000 0.0000
0.0000 0.0000 2.9695
0.0000 2.9114 7.4383
0.0000 2.9114 4.2324
-1.2557 2.1864 1.6062
1.2394 0.7156 5.7722
1.2557 2.1864 1.6062
0.0000 4.3614 1.6062
2.5214 1.4557 3.6715
2.5214 1.4557 7.7723
3.8033 0.7156 5.7722
2.5214 2.9360 5.7722

---

19.
MgPaCu3 PBE optimized geometry; space-group type = No. 63; formation energy from the elements = -38.2 meV per atom; size of the total moment = 0.07 μB per atom; uncorrected energy = -47.1 eV for the cell shown
1.0
1.5381 -12.6152 0.0000
1.5381 12.6152 0.0000
0.0000 0.0000 4.3934
Mg Pa Cu
2 2 6
Cartesian
1.5381 7.2596 3.2950
1.5381 -7.2596 1.0983
1.5381 10.6713 1.0983
1.5381 -10.6713 3.2950
1.5381 4.4893 3.2950
1.5381 3.1611 1.0983
1.5381 0.6242 1.0983
1.5381 -0.6242 3.2950
1.5381 -3.1611 3.2950
1.5381 -4.4893 1.0983

---

20.
MgPaCuPd PBE optimized geometry; space-group type = No. 216; formation energy from the elements = -234.3 meV per atom; size of the total moment = 0.00 μB per atom; uncorrected energy = -21.3 eV for the cell shown
1.0
0.0000 3.3741 3.3741
3.3741 0.0000 3.3741
3.3741 3.3741 0.0000
Mg Pa Cu Pd
1 1 1 1
Cartesian
0.0000 0.0000 0.0000
3.3741 3.3741 3.3741
5.0612 5.0612 5.0612
1.6871 1.6871 1.6871